Entry 1:
Entry from Alexandria: a relaxed HgOs2W crystal (GGA-PBE).

Summary:
The value obtained for the magnetic moment is 0.00 μB/cell. The value obtained for the density of states at the Fermi level is 2.455 states/eV/cell. As for the space group: P4mm (99).

Lattice parameters (Å, degrees): 2.790 2.790 8.423 90.00 90.00 90.00
Positions (direct):
Hg 0.000 0.000 0.000
Os 0.000 0.000 0.474
Os 0.500 0.500 0.269
W 0.500 0.500 0.724

Entry 2:
Entry from Alexandria: a relaxed HgOs2W crystal (GGA-PBE).

Summary:
The value obtained for the magnetic moment is 0.00 μB/cell. The value obtained for the density of states at the Fermi level is 3.321 states/eV/cell. As for the space group: I-4m2 (119).

Lattice parameters (Å, degrees): 5.040 5.040 5.040 134.55 134.55 66.23
Positions (direct):
Hg 0.000 0.000 0.000
Os 0.250 0.750 0.500
Os 0.500 0.500 0.000
W 0.750 0.250 0.500

Entry 3:
Entry from Alexandria: a relaxed HgOs2W crystal (GGA-PBE).

Summary:
The value obtained for the magnetic moment is 0.00 μB/cell. The value obtained for the density of states at the Fermi level is 4.342 states/eV/cell. As for the space group: F-43m (216).

Lattice parameters (Å, degrees): 4.517 4.517 4.517 60.00 60.00 60.00
Positions (direct):
Hg 0.000 0.000 0.000
Os 0.500 0.500 0.500
Os 0.750 0.750 0.750
W 0.250 0.250 0.250

Entry 4:
Entry from Alexandria: a relaxed HgOsW2 crystal (GGA-PBE).

Summary:
The value obtained for the magnetic moment is 0.00 μB/cell. The value obtained for the density of states at the Fermi level is 3.526 states/eV/cell. As for the space group: P4/mmm (123).

Lattice parameters (Å, degrees): 4.808 4.808 2.882 90.00 90.00 90.00
Positions (direct):
Hg 0.000 0.000 0.000
Os 0.500 0.500 0.000
W 0.000 0.500 0.500
W 0.500 0.000 0.500

Entry 5:
Entry from Alexandria: a relaxed HgOs2W crystal (GGA-PBE).

Summary:
The value obtained for the magnetic moment is 0.00 μB/cell. The value obtained for the density of states at the Fermi level is 3.628 states/eV/cell. As for the space group: Pmmm (47).

Lattice parameters (Å, degrees): 2.883 4.661 4.843 90.00 90.00 90.00
Positions (direct):
Hg 0.000 0.000 0.000
Os 0.000 0.500 0.500
Os 0.500 0.500 0.000
W 0.500 0.000 0.500

Entry 6:
Entry from Alexandria: a relaxed HgOs2W crystal (GGA-PBE).

Summary:
The value obtained for the magnetic moment is 0.00 μB/cell. The value obtained for the density of states at the Fermi level is 4.758 states/eV/cell. As for the space group: P4/mmm (123).

Lattice parameters (Å, degrees): 2.874 2.874 7.957 90.00 90.00 90.00
Positions (direct):
Hg 0.000 0.000 0.000
Os 0.500 0.500 0.275
Os 0.500 0.500 0.725
W 0.000 0.000 0.500

ΔE_f: 0.49; 0.75; 1.01; 0.87; 0.96; 0.48 (eV/atom)
Electronic total energy: -8.44; -8.18; -7.92; -8.49; -7.96; -8.45 (eV/atom)